Computed, not measured: a geometry-optimized HoMg2I6 structure at the PBE-GGA level of DFT.

Summary:
Its formation energy (no corrections) is -8.743 eV/f.u. The space group is R3 (146). As for the crystal system: trigonal. The value obtained for the calculated volume is 420.58 Å³/cell. Its total energy is -2.868 eV per atom.

Cell: 9.017 9.017 9.017 Å, 51.97 51.97 51.97°
Fractional coordinates of all 9 atoms:
Ho (0.000, 0.000, 0.000)
Mg (0.606, 0.606, 0.606)
Mg (0.732, 0.732, 0.732)
I (0.083, 0.775, 0.385)
I (0.224, 0.616, 0.916)
I (0.385, 0.083, 0.775)
I (0.616, 0.916, 0.224)
I (0.775, 0.385, 0.083)
I (0.916, 0.224, 0.616)

---

Computed, not measured: a geometry-optimized HoMgI structure at the PBE-GGA level of DFT.

Summary:
Its formation energy (no corrections) is -1.060 eV/f.u. The space group is Amm2 (38). As for the crystal system: orthorhombic. The value obtained for the calculated volume is 398.19 Å³/cell. Its total energy is -2.928 eV per atom.

Cell: 16.278 3.759 6.507 Å, 90.00 90.00 90.00°
Fractional coordinates of all 12 atoms:
Ho (0.157, 0.000, 0.000)
Ho (0.157, 0.500, 0.500)
Ho (0.843, 0.000, 0.000)
Ho (0.843, 0.500, 0.500)
Mg (0.000, 0.000, 0.333)
Mg (0.000, 0.500, 0.833)
Mg (0.500, 0.000, 0.318)
Mg (0.500, 0.500, 0.818)
I (0.293, 0.000, 0.333)
I (0.293, 0.500, 0.833)
I (0.707, 0.000, 0.333)
I (0.707, 0.500, 0.833)

---

Computed, not measured: a geometry-optimized HoMgTlI6 structure at the PBE-GGA level of DFT.

Summary:
Its formation energy (no corrections) is -9.889 eV/f.u. The space group is P-31c (163). As for the crystal system: trigonal. The value obtained for the calculated volume is 789.62 Å³/cell. Its total energy is -3.081 eV per atom.

Cell: 7.722 7.722 15.292 Å, 90.00 90.00 120.00°
Fractional coordinates of all 18 atoms:
Ho (0.333, 0.667, 0.250)
Ho (0.667, 0.333, 0.750)
Mg (0.333, 0.667, 0.750)
Mg (0.667, 0.333, 0.250)
Tl (0.000, 0.000, 0.000)
Tl (0.000, 0.000, 0.500)
I (0.008, 0.373, 0.637)
I (0.008, 0.635, 0.863)
I (0.365, 0.373, 0.863)
I (0.365, 0.992, 0.637)
I (0.373, 0.008, 0.137)
I (0.373, 0.365, 0.363)
I (0.627, 0.635, 0.637)
I (0.627, 0.992, 0.863)
I (0.635, 0.008, 0.363)
I (0.635, 0.627, 0.137)
I (0.992, 0.365, 0.137)
I (0.992, 0.627, 0.363)